Crystalline CrSe2 at its relaxed geometry, computed with PBE.

## Properties
As for the volume: 59 Å³ per cell. As for the raw total energy: -5.690 eV per atom. As for the space group: C2/m (12). For the uncorrected formation energy, the calculation gives -0.159 eV/atom.

```
data_CrSe2
_chemical_formula_sum 'Cr1 Se2'
_cell_length_a 7.0681
_cell_length_b 7.0681
_cell_length_c 2.9533
_cell_angle_alpha 101.99
_cell_angle_beta 101.99
_cell_angle_gamma 24.11
_symmetry_space_group_name_H-M 'P 1'
_symmetry_Int_Tables_number 1
_symmetry_space_group_name_Hall 'P 1'
loop_
_atom_site_label
_atom_site_type_symbol
_atom_site_fract_x
_atom_site_fract_y
_atom_site_fract_z
_atom_site_occupancy
Cr1 Cr 0.0000 0.0000 0.0000 1
Se1 Se 0.3883 0.3883 0.3887 1
Se2 Se 0.6117 0.6117 0.6113 1
```